# 1
Computed, not measured: La4Pr3Pd4 after structural relaxation at the PBE-GGA level of DFT.

CIF file:
```
data_La4Pr3Pd4
_chemical_formula_sum 'La8 Pr6 Pd8'
_cell_length_a 5.000
_cell_length_b 7.747
_cell_length_c 16.063
_cell_angle_alpha 90.00
_cell_angle_beta 90.00
_cell_angle_gamma 90.00
_space_group_name_H-M_alt 'I m m m'
_space_group_IT_number 71
_space_group_name_Hall '-I 2 2'
loop_
_atom_site_label
_atom_site_type_symbol
_atom_site_fract_x
_atom_site_fract_y
_atom_site_fract_z
_atom_site_occupancy
La1 La 0.000 0.224 0.167 1
Pr1 Pr 0.000 0.000 0.403 1
Pr2 Pr 0.000 0.500 0.500 1
Pd1 Pd 0.000 0.316 0.000 1
Pd2 Pd 0.000 0.500 0.302 1
```

Values from the calculation:
Energy of formation   -0.51 eV per atom
Size of the total moment   0.000 μB/f.u.
Fermi-level density of states   1.181 states/eV/atom

=====

# 2
Computed, not measured: Tl3Sn8Pb3 after structural relaxation at the PBE-GGA level of DFT.

CIF file:
```
data_Tl3Sn8Pb3
_chemical_formula_sum 'Tl6 Sn16 Pb6'
_cell_length_a 4.968
_cell_length_b 11.572
_cell_length_c 15.436
_cell_angle_alpha 90.00
_cell_angle_beta 90.00
_cell_angle_gamma 90.00
_space_group_name_H-M_alt 'I m m m'
_space_group_IT_number 71
_space_group_name_Hall '-I 2 2'
loop_
_atom_site_label
_atom_site_type_symbol
_atom_site_fract_x
_atom_site_fract_y
_atom_site_fract_z
_atom_site_occupancy
Tl1 Tl 0.000 0.000 0.000 1
Tl2 Tl 0.000 0.000 0.305 1
Sn1 Sn 0.000 0.282 0.148 1
Sn2 Sn 0.000 0.373 0.335 1
Pb1 Pb 0.000 0.206 0.500 1
Pb2 Pb 0.000 0.500 0.000 1
```

Values from the calculation:
Energy of formation   0.04 eV per atom
Size of the total moment   0.000 μB/f.u.
Fermi-level density of states   0.323 states/eV/atom

=====

# 3
Computed, not measured: MnCrTcIr after structural relaxation at the PBE-GGA level of DFT.

CIF file:
```
data_MnCrTcIr
_chemical_formula_sum 'Mn4 Cr4 Tc4 Ir4'
_cell_length_a 6.024
_cell_length_b 6.024
_cell_length_c 6.024
_cell_angle_alpha 90.00
_cell_angle_beta 90.00
_cell_angle_gamma 90.00
_space_group_name_H-M_alt 'F -4 3 m'
_space_group_IT_number 216
_space_group_name_Hall 'F -4 2 3'
loop_
_atom_site_label
_atom_site_type_symbol
_atom_site_fract_x
_atom_site_fract_y
_atom_site_fract_z
_atom_site_occupancy
Mn1 Mn 0.000 0.000 0.000 1
Cr1 Cr 0.000 0.000 0.500 1
Tc1 Tc 0.250 0.250 0.250 1
Ir1 Ir 0.250 0.250 0.750 1
```

Values from the calculation:
Energy of formation   -0.03 eV per atom
Size of the total moment   4.792 μB/f.u.
Fermi-level density of states   1.202 states/eV/atom

=====

# 4
Computed, not measured: HfZrBe after structural relaxation at the PBE-GGA level of DFT.

CIF file:
```
data_HfZrBe
_chemical_formula_sum 'Hf9 Zr9 Be9'
_cell_length_a 5.8236
_cell_length_b 5.8236
_cell_length_c 17.4761
_cell_angle_alpha 90.00
_cell_angle_beta 90.00
_cell_angle_gamma 120.00
_space_group_name_H-M_alt 'R 3'
_space_group_IT_number 146
_space_group_name_Hall 'R 3'
loop_
_atom_site_label
_atom_site_type_symbol
_atom_site_fract_x
_atom_site_fract_y
_atom_site_fract_z
_atom_site_occupancy
Hf1 Hf 0.0002 0.5899 0.0000 1
Zr1 Zr 0.0013 0.3818 0.5059 1
Be1 Be 0.0000 0.0000 0.0644 1
Be2 Be 0.0000 0.0000 0.4382 1
Be3 Be 0.0000 0.0000 0.9451 1
```

Values from the calculation:
Energy of formation   0.22 eV per atom
Size of the total moment   0.000 μB/f.u.
ΔE to the lowest computed polymorph   0.229 eV per atom
Fermi-level density of states   1.189 states/eV/atom

=====

# 5
Computed, not measured: Mg2ZrSe after structural relaxation at the PBE-GGA level of DFT.

CIF file:
```
data_Mg2ZrSe
_chemical_formula_sum 'Mg4 Zr2 Se2'
_cell_length_a 5.518
_cell_length_b 9.322
_cell_length_c 3.413
_cell_angle_alpha 90.00
_cell_angle_beta 90.00
_cell_angle_gamma 90.00
_space_group_name_H-M_alt 'C m m m'
_space_group_IT_number 65
_space_group_name_Hall '-C 2 2'
loop_
_atom_site_label
_atom_site_type_symbol
_atom_site_fract_x
_atom_site_fract_y
_atom_site_fract_z
_atom_site_occupancy
Mg1 Mg 0.250 0.250 0.000 1
Zr1 Zr 0.000 0.000 0.500 1
Se1 Se 0.000 0.500 0.500 1
```

Values from the calculation:
Size of the total moment   0.001 μB/f.u.
VASP energy   -0.1493 hartree per atom
Fermi-level density of states   0.806 states/eV/atom

=====

# 6
Computed, not measured: Sr2ThN2Cl2 after structural relaxation at the PBE-GGA level of DFT.

CIF file:
```
data_Sr2ThN2Cl2
_chemical_formula_sum 'Sr4 Th2 N4 Cl4'
_cell_length_a 4.676
_cell_length_b 4.676
_cell_length_c 15.216
_cell_angle_alpha 90.00
_cell_angle_beta 90.00
_cell_angle_gamma 90.00
_space_group_name_H-M_alt 'I 4/m m m'
_space_group_IT_number 139
_space_group_name_Hall '-I 4 2'
loop_
_atom_site_label
_atom_site_type_symbol
_atom_site_fract_x
_atom_site_fract_y
_atom_site_fract_z
_atom_site_occupancy
Sr1 Sr 0.000 0.000 0.109 1
Th1 Th 0.000 0.000 0.500 1
N1 N 0.000 0.500 0.000 1
Cl1 Cl 0.000 0.000 0.309 1
```

Values from the calculation:
Size of the total moment   0.000 μB/f.u.
VASP energy   -0.2247 hartree per atom

=====

# 7
Computed, not measured: TbHo2Sc after structural relaxation at the PBE-GGA level of DFT.

CIF file:
```
data_TbHo2Sc
_chemical_formula_sum 'Tb4 Ho8 Sc4'
_cell_length_a 7.817
_cell_length_b 7.817
_cell_length_c 7.817
_cell_angle_alpha 90.00
_cell_angle_beta 90.00
_cell_angle_gamma 90.00
_space_group_name_H-M_alt 'F m -3 m'
_space_group_IT_number 225
_space_group_name_Hall '-F 4 2 3'
loop_
_atom_site_label
_atom_site_type_symbol
_atom_site_fract_x
_atom_site_fract_y
_atom_site_fract_z
_atom_site_occupancy
Tb1 Tb 0.000 0.000 0.000 1
Ho1 Ho 0.250 0.250 0.250 1
Sc1 Sc 0.000 0.000 0.500 1
```

Values from the calculation:
Energy of formation   0.14 eV per atom
Size of the total moment   0.015 μB/f.u.
ΔE to the lowest computed polymorph   0.116 eV per atom
Fermi-level density of states   2.369 states/eV/atom

=====

# 8
Computed, not measured: Sr16Li12Cd after structural relaxation at the PBE-GGA level of DFT.

CIF file:
```
data_Sr16Li12Cd
_chemical_formula_sum 'Sr32 Li24 Cd2'
_cell_length_a 13.201
_cell_length_b 17.641
_cell_length_c 11.185
_cell_angle_alpha 90.00
_cell_angle_beta 117.25
_cell_angle_gamma 90.00
_space_group_name_H-M_alt 'C 1 m 1'
_space_group_IT_number 8
loop_
_space_group_symop_operation_xyz
'x,y,z'
'x,-y,z'
'x+1/2,y+1/2,z'
'x+1/2,-y+1/2,z'
loop_
_atom_site_label
_atom_site_type_symbol
_atom_site_fract_x
_atom_site_fract_y
_atom_site_fract_z
_atom_site_occupancy
Sr1 Sr 0.000 0.000 0.000 1
Sr2 Sr 0.013 0.380 0.983 1
Sr3 Sr 0.027 0.000 0.640 1
Sr4 Sr 0.043 0.309 0.329 1
Sr5 Sr 0.203 0.176 0.215 1
Sr6 Sr 0.214 0.190 0.640 1
Sr7 Sr 0.240 0.500 0.304 1
Sr8 Sr 0.314 0.313 0.991 1
Sr9 Sr 0.392 0.000 0.237 1
Sr10 Sr 0.497 0.115 0.625 1
Li1 Li 0.010 0.193 0.813 1
Li2 Li 0.215 0.000 0.430 1
Li3 Li 0.232 0.093 0.934 1
Li4 Li 0.277 0.411 0.660 1
Li5 Li 0.319 0.000 0.740 1
Li6 Li 0.378 0.314 0.483 1
Li7 Li 0.492 0.405 0.318 1
Cd1 Cd 0.197 0.500 0.886 1
```

Values from the calculation:
Energy of formation   0.03 eV per atom
Size of the total moment   0.000 μB/f.u.
Fermi-level density of states   0.797 states/eV/atom

=====

Repeat the seventh record exactly.
Computed, not measured: TbHo2Sc after structural relaxation at the PBE-GGA level of DFT.

CIF file:
```
data_TbHo2Sc
_chemical_formula_sum 'Tb4 Ho8 Sc4'
_cell_length_a 7.817
_cell_length_b 7.817
_cell_length_c 7.817
_cell_angle_alpha 90.00
_cell_angle_beta 90.00
_cell_angle_gamma 90.00
_space_group_name_H-M_alt 'F m -3 m'
_space_group_IT_number 225
_space_group_name_Hall '-F 4 2 3'
loop_
_atom_site_label
_atom_site_type_symbol
_atom_site_fract_x
_atom_site_fract_y
_atom_site_fract_z
_atom_site_occupancy
Tb1 Tb 0.000 0.000 0.000 1
Ho1 Ho 0.250 0.250 0.250 1
Sc1 Sc 0.000 0.000 0.500 1
```

Values from the calculation:
Energy of formation   0.14 eV per atom
Size of the total moment   0.015 μB/f.u.
ΔE to the lowest computed polymorph   0.116 eV per atom
Fermi-level density of states   2.369 states/eV/atom

=====

size of the total moment of number 8 (Sr16Li12Cd)? 0.000 μB/f.u.

=====

Which formula does entry 4 have? HfZrBe